1.
VASP calculation (PBE) on a geometry-optimized Ac3Tl5O12 structure.

Calculated values
Crystal system = cubic
Size of the total moment = 0.0 μB per cell
Energy = -5.882 eV per atom
Formation energy (no corrections) = -1699 meV/atom

a = 12.1453 Å, b = 12.1453 Å, c = 12.1453 Å
α = 109.47°, β = 109.47°, γ = 109.47°
Sites, in units of the cell vectors:
Ac 0.3750 0.7500 0.6250
Ac 0.2500 0.6250 0.8750
Ac 0.3750 0.6250 0.2500
Ac 0.1250 0.2500 0.8750
Ac 0.6250 0.2500 0.3750
Ac 0.7500 0.8750 0.6250
Ac 0.2500 0.1250 0.3750
Ac 0.1250 0.8750 0.7500
Ac 0.6250 0.3750 0.7500
Ac 0.7500 0.3750 0.1250
Ac 0.8750 0.1250 0.2500
Ac 0.8750 0.7500 0.1250
O 0.0902 0.9171 0.1302
O 0.2869 0.4171 0.8269
O 0.9171 0.0902 0.6302
O 0.8698 0.5829 0.9098
O 0.4171 0.1302 0.5902
O 0.5902 0.6302 0.4171
O 0.2869 0.8698 0.9600
O 0.0829 0.1731 0.2131
O 0.3269 0.7869 0.4171
O 0.6302 0.5902 0.9171
O 0.8698 0.2869 0.4600
O 0.9600 0.5902 0.1731
O 0.7869 0.4600 0.3698
O 0.1731 0.0902 0.9600
O 0.1302 0.4171 0.0902
O 0.6302 0.0400 0.2131
O 0.9098 0.8269 0.5400
O 0.3698 0.9600 0.7869
O 0.2131 0.6731 0.0829
O 0.4098 0.0400 0.3269
O 0.0400 0.6302 0.7131
O 0.8269 0.9171 0.2869
O 0.0902 0.1731 0.4600
O 0.7131 0.1302 0.0400
O 0.8269 0.9098 0.0400
O 0.4098 0.3698 0.5829
O 0.7869 0.3269 0.9171
O 0.6731 0.2131 0.5829
O 0.9098 0.0829 0.8698
O 0.9600 0.3698 0.2869
O 0.6731 0.4600 0.5902
O 0.5829 0.8698 0.4098
O 0.3698 0.4098 0.0829
O 0.0400 0.4098 0.8269
O 0.5400 0.2131 0.1302
O 0.4600 0.6731 0.0902
O 0.5400 0.3269 0.9098
O 0.3269 0.5400 0.4098
O 0.5902 0.9600 0.6731
O 0.4171 0.2869 0.3269
O 0.2131 0.5400 0.6302
O 0.1731 0.0829 0.7131
O 0.5829 0.7131 0.6731
O 0.9171 0.8269 0.7869
O 0.0829 0.9098 0.3698
O 0.7131 0.5829 0.1731
O 0.1302 0.7131 0.5400
O 0.4600 0.7869 0.8698
Tl 0.8750 0.2500 0.6250
Tl 0.0000 0.0000 0.5000
Tl 0.7500 0.6250 0.3750
Tl 0.5000 0.5000 0.5000
Tl 0.5000 0.0000 0.0000
Tl 0.5000 0.0000 0.5000
Tl 0.0000 0.0000 0.0000
Tl 0.0000 0.5000 0.0000
Tl 0.3750 0.1250 0.7500
Tl 0.7500 0.1250 0.8750
Tl 0.2500 0.3750 0.6250
Tl 0.6250 0.7500 0.8750
Tl 0.8750 0.6250 0.7500
Tl 0.6250 0.8750 0.2500
Tl 0.1250 0.3750 0.2500
Tl 0.0000 0.5000 0.5000
Tl 0.2500 0.8750 0.1250
Tl 0.3750 0.2500 0.1250
Tl 0.5000 0.5000 0.0000
Tl 0.1250 0.7500 0.3750



2.
VASP calculation (PBE) on a geometry-optimized CaErMgRh structure.

Calculated values
Calculated formation energy = -0.27 eV per atom
Crystal system = cubic
Size of the total moment = 0.0 μB per cell
Energy = -4.151 eV per atom

a = 5.0606 Å, b = 5.0606 Å, c = 5.0606 Å
α = 60.00°, β = 60.00°, γ = 60.00°
Sites, in units of the cell vectors:
Ca 0.7500 0.7500 0.7500
Rh 0.0000 0.0000 0.0000
Mg 0.5000 0.5000 0.5000
Er 0.2500 0.2500 0.2500



3.
VASP calculation (PBE) on a geometry-optimized BPtS structure.

Calculated values
Crystal system = tetragonal
Size of the total moment = 0.0 μB per cell
Energy = -5.081 eV per atom
Formation energy (no corrections) = 535 meV/atom

a = 3.1625 Å, b = 3.1625 Å, c = 6.1100 Å
α = 105.00°, β = 105.00°, γ = 90.00°
Sites, in units of the cell vectors:
B 0.5122 0.5122 0.0244
Pt 0.9857 0.9857 0.9713
S 0.3522 0.3522 0.7043



4.
VASP calculation (PBE) on a geometry-optimized Tl3V2Cl9 structure.

Calculated values
Crystal system = trigonal
Size of the total moment = 8.0 μB per cell
Energy = -4.149 eV per atom
Formation energy (no corrections) = -1153 meV/atom

a = 9.2482 Å, b = 9.2482 Å, c = 9.2482 Å
α = 81.27°, β = 81.27°, γ = 81.27°
Last column: magnetic moment on the atom in μB.
Sites, in units of the cell vectors:
V 0.1666 0.1666 0.1666  1.81
V 0.6666 0.6666 0.6666  1.81
V 0.3334 0.3334 0.3334  1.81
V 0.8334 0.8334 0.8334  1.81
Cl 0.5972 0.7632 0.4354  -0.01
Cl 0.9354 0.2632 0.0972  -0.01
Cl 0.5926 0.9074 0.7500  -0.02
Cl 0.0972 0.9354 0.2632  -0.01
Cl 0.0926 0.2500 0.4074  -0.02
Cl 0.4074 0.0926 0.2500  -0.02
Cl 0.2368 0.5646 0.4028  -0.01
Cl 0.0646 0.7368 0.9028  -0.01
Cl 0.7632 0.4354 0.5972  -0.01
Cl 0.7500 0.5926 0.9074  -0.02
Cl 0.2632 0.0972 0.9354  -0.01
Cl 0.9028 0.0646 0.7368  -0.01
Cl 0.5646 0.4028 0.2368  -0.01
Cl 0.7368 0.9028 0.0646  -0.01
Cl 0.9074 0.7500 0.5926  -0.02
Cl 0.2500 0.4074 0.0926  -0.02
Cl 0.4354 0.5972 0.7632  -0.01
Cl 0.4028 0.2368 0.5646  -0.01
Tl 0.9013 0.5987 0.2500  0.00
Tl 0.5987 0.2500 0.9013  0.00
Tl 0.2500 0.9013 0.5987  0.00
Tl 0.7500 0.0987 0.4013  0.00
Tl 0.4013 0.7500 0.0987  0.00
Tl 0.0987 0.4013 0.7500  0.00



5.
VASP calculation (PBE) on a geometry-optimized Th2Co2CuNi5 structure.

Calculated values
Calculated formation energy = -0.23 eV per atom
Crystal system = tetragonal
Size of the total moment = 3.0 μB per cell
Energy = -6.439 eV per atom

a = 3.8768 Å, b = 8.7068 Å, c = 8.7068 Å
α = 90.00°, β = 90.00°, γ = 90.00°
Last column: magnetic moment on the atom in μB.
Sites, in units of the cell vectors:
Co 0.0000 0.3805 0.1195  0.44
Co 0.0000 0.6195 0.8805  0.44
Co 0.0000 0.1195 0.6195  0.44
Co 0.0000 0.8805 0.3805  0.44
Ni 0.5000 0.9399 0.2022  0.18
Ni 0.5000 0.7978 0.9399  0.18
Ni 0.5000 0.5000 0.0000  0.20
Ni 0.5000 0.5601 0.7022  0.18
Ni 0.5000 0.2022 0.0601  0.18
Ni 0.5000 0.0601 0.7978  0.18
Ni 0.5000 0.7022 0.4399  0.18
Ni 0.5000 0.2978 0.5601  0.18
Ni 0.5000 0.0000 0.5000  0.20
Ni 0.5000 0.4399 0.2978  0.18
Cu 0.0000 0.0000 0.0000  0.01
Cu 0.0000 0.5000 0.5000  0.01
Th 0.0000 0.6803 0.1803  -0.08
Th 0.0000 0.8197 0.6803  -0.08
Th 0.0000 0.3197 0.8197  -0.08
Th 0.0000 0.1803 0.3197  -0.08



6.
VASP calculation (PBE) on a geometry-optimized CdPSeN2 structure.

Calculated values
Crystal system = tetragonal
Size of the total moment = 2.9 μB per cell
Energy = -3.305 eV per atom
Formation energy (no corrections) = 1987 meV/atom

a = 4.1823 Å, b = 4.1823 Å, c = 5.9749 Å
α = 90.00°, β = 90.00°, γ = 90.00°
Last column: magnetic moment on the atom in μB.
Sites, in units of the cell vectors:
N 0.0000 0.5000 0.0000  1.20
N 0.5000 0.0000 0.0000  1.20
Se 0.0000 0.0000 0.5000  0.13
Cd 0.0000 0.0000 0.0000  0.07
P 0.5000 0.5000 0.5000  -0.37



7.
VASP calculation (PBE) on a geometry-optimized ZnReCl2 structure.

Calculated values
Crystal system = tetragonal
Size of the total moment = 3.3 μB per cell
Energy = -3.291 eV per atom
Formation energy (no corrections) = 1063 meV/atom

a = 4.1075 Å, b = 4.2665 Å, c = 4.2665 Å
α = 90.00°, β = 90.00°, γ = 90.00°
Last column: magnetic moment on the atom in μB.
Sites, in units of the cell vectors:
Cl 0.0000 0.5000 0.5000  0.04
Cl 0.0000 0.0000 0.0000  0.04
Zn 0.5000 0.0000 0.5000  -0.07
Re 0.5000 0.5000 0.0000  2.83



8.
VASP calculation (PBE) on a geometry-optimized PuInGa structure.

Calculated values
Calculated formation energy = -0.15 eV per atom
Crystal system = cubic
Size of the total moment = 5.9 μB per cell
Energy = -6.854 eV per atom

a = 4.7793 Å, b = 4.7793 Å, c = 4.7793 Å
α = 60.00°, β = 60.00°, γ = 60.00°
Last column: magnetic moment on the atom in μB.
Sites, in units of the cell vectors:
Ga 0.2500 0.2500 0.2500  0.02
Pu 0.5000 0.5000 0.5000  5.48
In 0.0000 0.0000 0.0000  0.01